This record from Alexandria via LeMat-Bulk describes a geometry-optimized SrPb3 structure. The functional is PBE.

Cell: 3.806 3.806 10.944 Å, 90.00 90.00 120.00°
Sites, in units of the cell vectors:
Pb  0.000  0.000  0.005
Pb  0.000  0.000  0.495
Pb  0.667  0.333  0.250
Sr  0.667  0.333  0.750

Computed properties:
E	-3.278	eV per atom
DOS at the Fermi energy	0.803	states/eV/atom
total moment	0.00	μB per formula unit
space group	P-6m2, No. 187
energy relative to the elements	-29	kJ/mol of formula units